VASP calculation (GGA-PBEsol) on crystalline GaOs2F2 at its relaxed geometry.

a = 3.318 Å, b = 3.318 Å, c = 11.369 Å
α = 90.00°, β = 90.00°, γ = 90.00°
Atoms (fractional coordinates):
Ga1 0.000 0.000 0.000
Ga2 0.500 0.500 0.500
Os1 0.000 0.000 0.399
Os2 0.000 0.000 0.601
Os3 0.500 0.500 0.101
Os4 0.500 0.500 0.899
F1 0.000 0.500 0.250
F2 0.000 0.500 0.750
F3 0.500 0.000 0.250
F4 0.500 0.000 0.750

Summary:
Energy relative to the elements, uncorrected   -132.8 meV per atom
Space-group type   I4/mmm
DFT total energy   -6.4580 eV/atom
ρ   13.0 g/cm³
Volume   125 Å³ per cell
Total magnetic moment   0.0 Bohr magnetons per cell
DOS(E_F)   4.86 states/eV/cell



VASP calculation (GGA-PBEsol) on crystalline SrTaTe at its relaxed geometry.

a = 3.619 Å, b = 3.619 Å, c = 7.088 Å
α = 90.00°, β = 90.00°, γ = 120.00°
Atoms (fractional coordinates):
Sr1 0.000 0.000 0.000
Ta1 0.333 0.667 0.628
Te1 0.667 0.333 0.374

Summary:
Energy relative to the elements, uncorrected   135.9 meV per atom
Energy above the most stable polymorph in this dataset   0 meV/atom
Space-group type   P3m1
DFT total energy   -5.8366 eV/atom
ρ   8.2 g/cm³
Volume   80 Å³ per cell
Total magnetic moment   0.8 Bohr magnetons per cell
DOS(E_F)   1.19 states/eV/cell



VASP calculation (GGA-PBEsol) on crystalline LiYCd2 at its relaxed geometry.

a = 7.299 Å, b = 7.311 Å, c = 3.417 Å
α = 90.00°, β = 90.00°, γ = 90.00°
Atoms (fractional coordinates):
Li1 0.000 0.000 0.000
Li2 0.500 0.500 0.000
Y1 0.000 0.500 0.000
Y2 0.500 0.000 0.000
Cd1 0.250 0.250 0.500
Cd2 0.250 0.750 0.500
Cd3 0.750 0.250 0.500
Cd4 0.750 0.750 0.500

Summary:
Space-group type   Cmmm
DFT formation energy   -244 meV/atom
DFT total energy   -3.0397 eV/atom
ρ   5.8 g/cm³
Volume   182 Å³ per cell
Total magnetic moment   0.0 Bohr magnetons per cell
DOS(E_F)   5.53 states/eV/cell



VASP calculation (GGA-PBEsol) on crystalline La2TcOsAu at its relaxed geometry.

a = 5.377 Å, b = 5.377 Å, c = 4.535 Å
α = 90.00°, β = 90.00°, γ = 90.00°
Atoms (fractional coordinates):
La1 0.000 0.500 0.000
La2 0.500 0.000 0.000
Tc1 0.000 0.000 0.000
Os1 0.000 0.000 0.500
Au1 0.500 0.500 0.500

Summary:
Space-group type   P4/mmm
DFT formation energy   440 meV/atom
DFT total energy   -7.1798 eV/atom
ρ   9.7 g/cm³
Volume   131 Å³ per cell
Total magnetic moment   0.0 Bohr magnetons per cell
DOS(E_F)   3.91 states/eV/cell



VASP calculation (GGA-PBEsol) on crystalline CuSI2N at its relaxed geometry.

a = 5.731 Å, b = 5.731 Å, c = 3.332 Å
α = 90.00°, β = 90.00°, γ = 90.00°
Atoms (fractional coordinates):
Cu1 0.000 0.000 0.000
S1 0.500 0.500 0.500
I1 0.000 0.500 0.500
I2 0.500 0.000 0.500
N1 0.500 0.500 0.000

Summary:
Energy relative to the elements, uncorrected   920.1 meV per atom
Space-group type   P4/mmm
DFT total energy   -3.2356 eV/atom
ρ   5.5 g/cm³
Volume   109 Å³ per cell
Total magnetic moment   0.0 Bohr magnetons per cell
DOS(E_F)   2.20 states/eV/cell



VASP calculation (GGA-PBEsol) on crystalline K2CaInTc at its relaxed geometry.

a = 6.324 Å, b = 6.324 Å, c = 5.196 Å
α = 90.00°, β = 90.00°, γ = 90.00°
Atoms (fractional coordinates):
K1 0.000 0.500 0.000
K2 0.500 0.000 0.000
Ca1 0.000 0.000 0.500
In1 0.500 0.500 0.000
Tc1 0.500 0.500 0.500

Summary:
Space-group type   P4/mmm
DFT formation energy   1025 meV/atom
DFT total energy   -2.7050 eV/atom
ρ   2.6 g/cm³
Volume   208 Å³ per cell
Total magnetic moment   2.7 Bohr magnetons per cell
DOS(E_F)   5.22 states/eV/cell



Q: DFT total energy of number 4 (La2TcOsAu)?
A: -7.1798 eV/atom



Q: Which of these has the lowest ρ?
A: K2CaInTc